DFT (PBE) results for BaHgCl2 after structural relaxation.

a b c (Å): 4.700 4.700 10.715
angles (deg): 90.00 90.00 90.00
Space group I-4m2 (No. 119)
One atom of each set of equivalent atoms:
Ba 0.000 0.000 0.000 [2 per cell]
Hg 0.000 0.500 0.250 [2 per cell]
Cl 0.000 0.000 0.500 [2 per cell]
Cl 0.000 0.500 0.750 [2 per cell]

Values from the calculation:
Magnetization ... 0.0 μB per cell
Calculated density ... 5737 kg/m3
VASP energy ... -3.080 eV per atom
Crystal system ... tetragonal



DFT (PBE) results for CsLiAgI3 after structural relaxation.

a b c (Å): 10.074 4.550 11.216
angles (deg): 90.00 107.12 90.00
Space group P2_1/m (No. 11)
One atom of each set of equivalent atoms:
Cs 0.210 0.250 0.230 [2 per cell]
Li 0.101 0.250 0.612 [2 per cell]
Ag 0.343 0.750 0.901 [2 per cell]
I 0.126 0.250 0.864 [2 per cell]
I 0.189 0.750 0.513 [2 per cell]
I 0.487 0.750 0.168 [2 per cell]

Values from the calculation:
Magnetization ... 0.0 μB per cell
Calculated density ... 4248 kg/m3
VASP energy ... -2.678 eV per atom
Crystal system ... monoclinic



DFT (PBE) results for Na5ThTl6 after structural relaxation.

a b c (Å): 5.312 16.162 7.881
angles (deg): 90.00 90.00 90.00
Space group Cmmm (No. 65)
One atom of each set of equivalent atoms:
Na 0.000 0.000 0.000 [2 per cell]
Na 0.000 0.331 0.000 [4 per cell]
Na 0.000 0.331 0.500 [4 per cell]
Th 0.000 0.000 0.500 [2 per cell]
Tl 0.000 0.168 0.253 [8 per cell]
Tl 0.000 0.500 0.245 [4 per cell]

Values from the calculation:
Magnetization ... 0.0 μB per cell
Energy relative to the elements ... -100 kJ/mol of formula units
Calculated density ... 7722 kg/m3
VASP energy ... -2.438 eV per atom
Crystal system ... orthorhombic



DFT (PBE) results for LiTl3Pb12 after structural relaxation.

a b c (Å): 4.860 4.860 20.615
angles (deg): 90.00 90.00 90.00
Space group P4/mmm (No. 123)
One atom of each set of equivalent atoms:
Li 0.000 0.000 0.000 [1 per cell]
Tl 0.000 0.000 0.245 [2 per cell]
Tl 0.000 0.000 0.500 [1 per cell]
Pb 0.000 0.500 0.117 [4 per cell]
Pb 0.000 0.500 0.372 [4 per cell]
Pb 0.500 0.500 0.000 [1 per cell]
Pb 0.500 0.500 0.245 [2 per cell]
Pb 0.500 0.500 0.500 [1 per cell]

Values from the calculation:
Magnetization ... 0.0 μB per cell
Energy relative to the elements ... -42 kJ/mol of formula units
Calculated density ... 10593 kg/m3
VASP energy ... -3.372 eV per atom
Crystal system ... tetragonal



DFT (PBE) results for NaTeSeI2 after structural relaxation.

a b c (Å): 5.864 5.864 5.621
angles (deg): 90.00 90.00 90.00
Space group P4/mmm (No. 123)
One atom of each set of equivalent atoms:
Na 0.000 0.000 0.000 [1 per cell]
Te 0.500 0.500 0.000 [1 per cell]
Se 0.500 0.500 0.500 [1 per cell]
I 0.000 0.500 0.500 [2 per cell]

Values from the calculation:
Magnetization ... 0.0 μB per cell
Calculated density ... 4152 kg/m3
VASP energy ... -2.343 eV per atom
Crystal system ... tetragonal



DFT (PBE) results for LiNdHo after structural relaxation.

a b c (Å): 3.721 3.721 12.381
angles (deg): 90.00 90.00 90.00
Space group I4mm (No. 107)
One atom of each set of equivalent atoms:
Li 0.000 0.000 0.000 [2 per cell]
Nd 0.000 0.000 0.341 [2 per cell]
Ho 0.000 0.000 0.646 [2 per cell]

Values from the calculation:
Magnetization ... 0.0 μB per cell
Energy relative to the elements ... 24 kJ/mol of formula units
Calculated density ... 6123 kg/m3
VASP energy ... -3.670 eV per atom
Crystal system ... tetragonal



> Among the records above, which one has the highest calculated density?

LiTl3Pb12



> Among the records above, which one has the highest calculated density?

LiTl3Pb12